Below is a relaxed Er4OsCl5 crystal, with properties calculated at the PBE level.

The size of the total moment is 0.5 μB/cell. As for the space group: C2/m. The calculation puts the electronic total energy at -5.409 eV/atom.

```
Er4OsCl5
1.0
-1.801 -1.866 2.827
-4.541 -4.203 -5.668
8.164 -4.707 -0.508
Er Cl Os
4 5 1
Direct
0.010 0.230 0.020
0.990 0.770 0.980
0.353 0.938 0.705
0.647 0.062 0.295
0.500 0.500 0.000
0.814 0.141 0.627
0.834 0.701 0.667
0.166 0.299 0.333
0.186 0.859 0.373
0.500 0.000 0.000
```



Below is a relaxed Er2OsCl crystal, with properties calculated at the PBE level.

The size of the total moment is 0.0 μB/cell. As for the space group: R-3m. The calculation puts the electronic total energy at -6.263 eV/atom.

```
Er2OsCl
1.0
3.921 0.000 0.000
1.961 3.396 0.000
1.961 1.132 7.412
Os Er Cl
1 2 1
Direct
0.000 0.000 0.000
0.265 0.265 0.205
0.735 0.735 0.795
0.500 0.500 0.500
```



Below is a relaxed Er2OsCl crystal, with properties calculated at the PBE level.

The size of the total moment is 0.0 μB/cell. As for the space group: P4/mmm. The calculation puts the electronic total energy at -6.391 eV/atom.

```
Er2OsCl
1.0
3.327 0.000 0.000
0.000 3.327 0.000
0.000 0.000 7.954
Er Os Cl
2 1 1
Direct
0.000 0.000 0.790
0.000 0.000 0.210
0.500 0.500 0.000
0.500 0.500 0.500
```



Below is a relaxed Er4P3Cl crystal, with properties calculated at the PBE level.

The size of the total moment is 0.0 μB/cell. As for the space group: Cmmm. The calculation puts the electronic total energy at -6.147 eV/atom.

```
Er4P3Cl
1.0
3.952 -0.050 0.067
0.050 6.592 1.909
-0.111 0.367 6.852
Cl Er P
1 4 3
Direct
0.500 0.500 0.000
0.000 0.229 0.271
0.500 0.759 0.259
0.500 0.241 0.741
0.000 0.771 0.729
0.000 0.500 0.500
0.500 0.000 0.500
0.000 0.000 0.000
```



Below is a relaxed Er2PCl3 crystal, with properties calculated at the PBE level.

The size of the total moment is 0.0 μB/cell. As for the space group: C2/m. The calculation puts the electronic total energy at -5.231 eV/atom.

```
Er2PCl3
1.0
-2.752 0.794 2.984
-0.332 -7.122 4.456
6.190 2.878 7.811
Cl P Er
6 2 4
Direct
0.237 0.122 0.404
0.057 0.156 0.730
0.943 0.844 0.270
0.339 0.317 0.005
0.763 0.878 0.596
0.661 0.683 0.995
0.404 0.525 0.667
0.596 0.475 0.333
0.864 0.449 0.824
0.607 0.242 0.543
0.136 0.551 0.176
0.393 0.758 0.457
```



Below is a relaxed ErPCl crystal, with properties calculated at the PBE level.

The size of the total moment is 0.0 μB/cell. As for the space group: R-3m. The calculation puts the electronic total energy at -5.337 eV/atom.

```
ErPCl
1.0
4.023 0.000 0.000
-2.011 3.428 -0.618
0.000 -0.168 12.172
P Cl Er
2 2 2
Direct
0.030 0.060 0.091
0.970 0.940 0.909
0.116 0.233 0.349
0.884 0.767 0.651
0.736 0.471 0.207
0.264 0.529 0.793
```



Below is a relaxed ErPS4Cl crystal, with properties calculated at the PBE level.

The size of the total moment is 0.0 μB/cell. As for the space group: C2/m. The calculation puts the electronic total energy at -4.868 eV/atom.

```
ErPS4Cl
1.0
-6.580 -1.288 -1.001
0.317 -3.452 -5.826
0.032 -8.092 3.675
S Er Cl P
8 2 2 2
Direct
0.303 0.303 0.457
0.697 0.697 0.543
0.492 0.850 0.889
0.850 0.492 0.889
0.579 0.579 0.276
0.508 0.150 0.111
0.421 0.421 0.724
0.150 0.508 0.111
0.190 0.190 0.943
0.810 0.810 0.057
0.017 0.017 0.192
0.983 0.983 0.808
0.390 0.390 0.242
0.610 0.610 0.758
```



Below is a relaxed Er4PSe2Cl crystal, with properties calculated at the PBE level.

The size of the total moment is 0.0 μB/cell. As for the space group: P2/m. The calculation puts the electronic total energy at -5.632 eV/atom.

```
Er4PSe2Cl
1.0
3.977 0.000 0.000
0.000 6.948 -0.171
0.000 2.416 6.504
Cl Se P Er
1 2 1 4
Direct
0.500 0.500 0.000
0.000 0.000 0.000
0.500 0.000 0.500
0.000 0.500 0.500
0.500 0.731 0.277
0.000 0.747 0.726
0.000 0.253 0.274
0.500 0.269 0.723
```



Below is a relaxed ErPaCl crystal, with properties calculated at the PBE level.

The size of the total moment is 0.0 μB/cell. As for the space group: P2_1/m. The calculation puts the electronic total energy at -6.044 eV/atom.

```
ErPaCl
1.0
-4.680 1.227 -1.847
1.152 -3.895 -5.509
-3.136 -7.204 3.161
Cl Pa Er
4 4 4
Direct
0.750 0.377 0.582
0.250 0.623 0.418
0.750 0.877 0.582
0.250 0.123 0.418
0.750 0.927 0.959
0.750 0.427 0.959
0.250 0.073 0.041
0.250 0.573 0.041
0.250 0.828 0.701
0.750 0.172 0.299
0.750 0.672 0.299
0.250 0.328 0.701
```



Below is a relaxed ErPaCl2 crystal, with properties calculated at the PBE level.

The size of the total moment is 0.6 μB/cell. As for the space group: R-3m. The calculation puts the electronic total energy at -5.423 eV/atom.

```
ErPaCl2
1.0
-2.984 1.762 0.033
-2.681 -1.169 1.858
1.177 5.245 8.226
Cl Pa Er
2 1 1
Direct
0.905 0.905 0.286
0.095 0.095 0.714
0.500 0.500 0.500
0.000 0.000 0.000
```



Below is a relaxed ErPaCl6 crystal, with properties calculated at the PBE level.

The size of the total moment is 2.0 μB/cell. As for the space group: R-3. The calculation puts the electronic total energy at -5.064 eV/atom.

```
ErPaCl6
1.0
-4.964 -4.360 -1.930
-3.941 -3.046 4.751
-7.012 2.270 0.627
Cl Pa Er
6 1 1
Direct
0.400 0.741 0.743
0.885 0.600 0.257
0.258 0.884 0.257
0.600 0.259 0.257
0.115 0.400 0.743
0.742 0.116 0.743
0.000 0.000 0.000
0.500 0.500 0.500
```



Below is a relaxed ErPb2Cl8 crystal, with properties calculated at the PBE level.

The size of the total moment is 0.0 μB/cell. As for the space group: C2/m. The calculation puts the electronic total energy at -3.794 eV/atom.

```
ErPb2Cl8
1.0
1.163 -6.200 -2.948
6.272 0.851 -4.367
5.990 -3.053 3.732
Pb Cl Er
2 8 1
Direct
0.785 0.659 0.659
0.215 0.341 0.341
0.761 0.337 0.963
0.761 0.963 0.337
0.259 0.110 0.110
0.190 0.574 0.574
0.810 0.426 0.426
0.239 0.037 0.663
0.741 0.890 0.890
0.239 0.663 0.037
0.000 0.000 0.000
```



Below is a relaxed ErPbCl5 crystal, with properties calculated at the PBE level.

The size of the total moment is 0.0 μB/cell. As for the space group: C2/c. The calculation puts the electronic total energy at -4.248 eV/atom.

```
ErPbCl5
1.0
-5.824 0.906 -4.157
1.795 -5.971 -3.626
-3.144 -2.758 9.384
Er Cl Pb
2 10 2
Direct
0.500 0.500 0.500
0.000 0.000 0.000
0.196 0.108 0.856
0.777 0.279 0.470
0.221 0.723 0.030
0.804 0.892 0.144
0.233 0.267 0.250
0.223 0.721 0.530
0.767 0.733 0.750
0.608 0.696 0.356
0.779 0.277 0.970
0.392 0.304 0.644
0.087 0.413 0.750
0.913 0.587 0.250
```



Below is a relaxed ErTlPb2Cl8 crystal, with properties calculated at the PBE level.

The size of the total moment is 0.0 μB/cell. As for the space group: P2/m. The calculation puts the electronic total energy at -3.928 eV/atom.

```
ErTlPb2Cl8
1.0
-3.695 2.807 5.030
-4.898 -4.200 -1.114
3.585 -5.732 5.832
Cl Pb Er Tl
8 2 1 1
Direct
0.159 0.771 0.210
0.631 0.725 0.500
0.690 0.758 0.000
0.310 0.242 0.000
0.841 0.229 0.790
0.841 0.229 0.210
0.369 0.275 0.500
0.159 0.771 0.790
0.500 0.500 0.751
0.500 0.500 0.249
0.000 0.000 0.000
0.000 0.000 0.500
```



Below is a relaxed Er2PdCl crystal, with properties calculated at the PBE level.

The size of the total moment is 0.0 μB/cell. As for the space group: R3m. The calculation puts the electronic total energy at -5.082 eV/atom.

```
Er2PdCl
1.0
3.931 0.000 0.000
1.965 3.404 0.000
1.965 1.135 7.602
Pd Cl Er
1 1 2
Direct
0.668 0.668 0.996
0.495 0.495 0.516
0.071 0.071 0.788
0.266 0.266 0.201
```



Below is a relaxed ErPdCl6 crystal, with properties calculated at the PBE level.

The size of the total moment is 1.0 μB/cell. As for the space group: P-1. The calculation puts the electronic total energy at -3.817 eV/atom.

```
ErPdCl6
1.0
6.321 0.176 -0.054
3.303 5.661 -0.157
3.146 1.799 5.703
Cl Er Pd
6 1 1
Direct
0.090 0.404 0.749
0.398 0.773 0.757
0.768 0.079 0.764
0.232 0.921 0.236
0.602 0.227 0.243
0.910 0.596 0.251
0.500 0.500 0.500
0.000 0.000 0.000
```



Below is a relaxed RbErPdCl6 crystal, with properties calculated at the PBE level.

The size of the total moment is 2.0 μB/cell. As for the space group: P312. The calculation puts the electronic total energy at -3.996 eV/atom.

```
RbErPdCl6
1.0
6.711 0.000 0.000
3.356 5.812 0.000
0.000 0.000 7.465
Cl Rb Pd Er
6 1 1 1
Direct
0.373 0.992 0.700
0.373 0.635 0.300
0.992 0.635 0.700
0.635 0.373 0.700
0.992 0.373 0.300
0.635 0.992 0.300
0.000 0.000 0.000
0.667 0.667 0.500
0.333 0.333 0.500
```



Below is a relaxed Rb2ErPdCl6 crystal, with properties calculated at the PBE level.

The size of the total moment is 2.0 μB/cell. As for the space group: Pmmn. The calculation puts the electronic total energy at -3.965 eV/atom.

```
Rb2ErPdCl6
1.0
7.609 0.000 0.000
0.000 7.609 0.000
0.000 0.000 10.225
Pd Cl Rb Er
2 12 4 2
Direct
0.500 0.250 0.000
0.000 0.750 0.500
0.258 0.492 0.500
0.242 0.993 0.000
0.742 0.492 0.500
0.242 0.508 0.000
0.000 0.750 0.744
0.742 0.007 0.500
0.500 0.250 0.756
0.758 0.508 0.000
0.000 0.750 0.256
0.758 0.993 0.000
0.500 0.250 0.244
0.258 0.007 0.500
0.000 0.250 0.250
0.500 0.750 0.750
0.500 0.750 0.250
0.000 0.250 0.750
0.500 0.250 0.500
0.000 0.750 0.000
```



Below is a relaxed PmErCl crystal, with properties calculated at the PBE level.

The size of the total moment is 0.4 μB/cell. As for the space group: P3m1. The calculation puts the electronic total energy at -4.620 eV/atom.

```
PmErCl
1.0
7.114 0.000 0.000
0.000 3.689 0.000
0.000 -1.844 3.194
Pm Er Cl
1 1 1
Direct
0.685 0.667 0.333
0.305 0.333 0.667
0.010 0.000 0.000
```



Below is a relaxed PmErCl crystal, with properties calculated at the PBE level.

The size of the total moment is 0.7 μB/cell. As for the space group: P2_1/m. The calculation puts the electronic total energy at -4.610 eV/atom.

```
PmErCl
1.0
-0.520 -0.388 -3.642
0.745 -6.989 0.638
-6.345 -0.564 0.966
Er Cl Pm
2 2 2
Direct
0.250 0.314 0.582
0.750 0.686 0.418
0.250 0.994 0.265
0.750 0.006 0.735
0.750 0.303 0.084
0.250 0.697 0.916
```



Below is a relaxed PmErSe2Cl crystal, with properties calculated at the PBE level.

The size of the total moment is 0.0 μB/cell. As for the space group: P4/nmm. The calculation puts the electronic total energy at -5.474 eV/atom.

```
PmErSe2Cl
1.0
-2.416 0.410 3.337
2.376 -2.700 2.052
8.053 10.534 4.536
Cl Pm Se Er
2 2 4 2
Direct
0.500 0.500 0.500
0.000 0.000 0.500
0.500 0.000 0.646
0.000 0.500 0.354
0.500 0.000 0.884
0.500 0.000 0.293
0.000 0.500 0.116
0.000 0.500 0.707
0.500 0.000 0.089
0.000 0.500 0.911
```



Below is a relaxed Pr3ErCl crystal, with properties calculated at the PBE level.

The size of the total moment is 0.0 μB/cell. As for the space group: Pm-3m. The calculation puts the electronic total energy at -4.637 eV/atom.

```
Pr3ErCl
1.0
-3.181 2.238 3.892
3.860 -1.074 3.772
2.294 4.911 -0.949
Pr Er Cl
3 1 1
Direct
0.000 0.000 0.500
0.500 0.000 0.000
0.000 0.500 0.000
0.500 0.500 0.500
0.000 0.000 0.000
```



Below is a relaxed PrErCl6 crystal, with properties calculated at the PBE level.

The size of the total moment is 0.0 μB/cell. As for the space group: R-3. The calculation puts the electronic total energy at -4.796 eV/atom.

```
PrErCl6
1.0
6.829 0.009 0.009
3.407 5.919 0.013
3.404 1.966 6.244
Pr Cl Er
1 6 1
Direct
0.000 0.000 0.000
0.595 0.259 0.257
0.260 0.889 0.257
0.111 0.405 0.743
0.889 0.595 0.257
0.740 0.111 0.743
0.405 0.741 0.743
0.500 0.500 0.500
```



Below is a relaxed PrErCl6 crystal, with properties calculated at the PBE level.

The size of the total moment is 0.0 μB/cell. As for the space group: C2/m. The calculation puts the electronic total energy at -4.753 eV/atom.

```
PrErCl6
1.0
7.280 -0.008 -0.029
0.050 6.122 3.520
-0.001 0.001 7.062
Pr Cl Er
1 6 1
Direct
0.500 0.021 0.021
0.764 0.306 0.022
0.764 0.021 0.734
0.232 0.306 0.735
0.768 0.735 0.306
0.236 0.734 0.021
0.236 0.022 0.306
0.000 0.021 0.021
```